Compound: Tl3CrF7
Source: the Alexandria database
Functional: PBE with a Hubbard U
Structure: optimized geometry

VASP energy, eV/atom: -4.631
Magnetic moment, Bohr magnetons per cell: 2.1
Space-group type: No. 8

abc: 5.965 5.965 6.503
angles: 68.44 68.44 87.58
Sites, in units of the cell vectors:
Tl1 0.775 0.255 0.484
Tl2 0.523 0.523 0.940
Tl3 0.255 0.775 0.484
Cr1 0.011 0.011 0.999
F1 0.153 0.153 0.156
F2 0.696 0.033 0.225
F3 0.989 0.329 0.782
F4 0.033 0.696 0.225
F5 0.492 0.492 0.329
F6 0.329 0.989 0.782
F7 0.870 0.870 0.843